Entry from Alexandria via LeMat-Bulk: a geometry-optimized Ca6PbAu2 structure (PBE).

Properties
E_form ... -0.565 eV per atom
Symmetry ... Immm, No. 71

Lattice parameters (Å, degrees): 9.013 9.013 9.013 114.88 109.56 104.15
Positions (direct):
Ca: 0.046 0.243 0.802
Ca: 0.179 0.287 0.466
Ca: 0.179 0.713 0.892
Ca: 0.338 0.032 0.693
Ca: 0.338 0.645 0.307
Ca: 0.441 0.243 0.198
Ca: 0.559 0.757 0.802
Ca: 0.662 0.355 0.693
Ca: 0.662 0.968 0.307
Ca: 0.821 0.287 0.108
Ca: 0.821 0.713 0.534
Ca: 0.954 0.757 0.198
Pb: 0.000 0.000 0.000
Pb: 0.500 0.500 0.000
Au: 0.132 0.632 0.500
Au: 0.330 0.000 0.330
Au: 0.670 0.000 0.670
Au: 0.868 0.368 0.500